# Ca2CoP PBE optimized geometry
# - E_form (eV/atom) = 0.141
# - spin magnetization (μB per cell) = 5.02
data_Ca2CoP
_symmetry_space_group_name_H-M 'I -4 2 d'
_symmetry_Int_Tables_number 122
_symmetry_space_group_name_Hall 'I -4 2bw'
_cell_length_a 7.648
_cell_length_b 7.648
_cell_length_c 6.279
_cell_angle_alpha 90.00
_cell_angle_beta 90.00
_cell_angle_gamma 90.00
loop_
_atom_site_label
_atom_site_fract_x
_atom_site_fract_y
_atom_site_fract_z
Ca1 0.244 0.750 0.125
Co1 0.000 0.000 0.500
P1 0.000 0.000 0.000